Below is an optimized crystal structure of CdSiPt, with properties calculated at the PBE level.

Results
- Space group: F-43m, No. 216
- Electronic total energy: -12.9 eV for the cell shown
- Raw formation energy: -0.176 eV/atom

Lattice parameters (Å, degrees): 4.3428 4.3428 4.3428 60.00 60.00 60.00
With the nearest neighbours (Å) after each atom.
Fractional positions:
Cd: 0.5000 0.5000 0.5000  4 Pt 2.66
Pt: 0.2500 0.2500 0.2500  4 Cd 2.66, 4 Si 2.66
Si: 0.0000 0.0000 0.0000  4 Pt 2.66